Compound: SmAl6Pd4
Source: Alexandria
Functional: PBE
Structure: relaxed

extended XYZ file:
```
11
Lattice="7.279 0.000 0.000 -3.639 6.304 0.000 0.000 0.000 4.091" Properties=species:S:1:pos:R:3 pbc="T T T"
Sm 0.000 0.000 0.000
Al 0.000 2.532 2.045
Al -1.447 5.038 2.045
Al 3.639 0.435 0.000
Al 2.196 2.934 0.000
Al 1.447 5.038 2.045
Al 5.083 2.934 0.000
Pd 0.000 4.202 0.000
Pd 2.201 1.271 2.045
Pd 5.078 1.271 2.045
Pd 3.639 3.762 2.045
```

The calculation puts the density of states at the Fermi level at 4.91 states/eV per cell. As for the calculated volume: 17.1 A^3/atom. The value obtained for the total energy is -56.70 eV/f.u.